The following is a PBE-GGA calculation of a relaxed structure of Li6Ag2Sn3, from Alexandria.

Properties
The crystal system is tetragonal. For the density of states at the Fermi level, the calculation gives 1.77 states/eV/cell. The value obtained for the total energy is -30.4 eV per cell. As for the symmetry: No. 139. As for the formation energy: -0.11 eV per atom.

Unit cell a=12.6107 b=12.6107 c=12.6107 alpha=160.12 beta=160.12 gamma=28.26
Sites, in units of the cell vectors:
Li  0.0675  0.5675  0.5000
Li  0.2347  0.2347  0.0000
Li  0.4325  0.9325  0.5000
Li  0.5675  0.0675  0.5000
Li  0.7653  0.7653  0.0000
Li  0.9325  0.4325  0.5000
Ag  0.1327  0.1327  0.0000
Ag  0.8673  0.8673  0.0000
Sn  0.3511  0.3511  0.0000
Sn  0.5000  0.5000  0.0000
Sn  0.6489  0.6489  0.0000


The following is a PBE-GGA calculation of a relaxed structure of Ba2SiBr, from Alexandria.

Properties
The crystal system is orthorhombic. As for the relative energy among the computed polymorphs: 3 meV/atom. For the density of states at the Fermi level, the calculation gives 1.40 states/eV/cell. The value obtained for the total energy is -14.7 eV per cell. The calculation puts the formation energy without anion corrections at -935.0 meV per atom. As for the symmetry: No. 47.

Unit cell a=3.9032 b=4.0094 c=8.7578 alpha=90.00 beta=90.00 gamma=90.00
Sites, in units of the cell vectors:
Ba  0.0000  0.0000  0.2241
Ba  0.0000  0.0000  0.7759
Si  0.5000  0.5000  0.0000
Br  0.5000  0.5000  0.5000


The following is a PBE-GGA calculation of a relaxed structure of Nd2Tm4Ge3O2, from Alexandria.

Properties
The crystal system is tetragonal. For the density of states at the Fermi level, the calculation gives 7.91 states/eV/cell. The value obtained for the total energy is -68.9 eV per cell. The calculation puts the formation energy without anion corrections at -1606.8 meV per atom. As for the symmetry: No. 139.

Unit cell a=12.3911 b=12.3911 c=12.3911 alpha=159.04 beta=159.04 gamma=29.82
Sites, in units of the cell vectors:
Nd  0.1979  0.1979  0.0000
Nd  0.8021  0.8021  0.0000
Tm  0.0793  0.5793  0.5000
Tm  0.4207  0.9207  0.5000
Tm  0.5793  0.0793  0.5000
Tm  0.9207  0.4207  0.5000
Ge  0.3296  0.3296  0.0000
Ge  0.5000  0.5000  0.0000
Ge  0.6704  0.6704  0.0000
O  0.0887  0.0887  0.0000
O  0.9113  0.9113  0.0000


The following is a PBE-GGA calculation of a relaxed structure of Ca3Sm2Rh2, from Alexandria.

Properties
The crystal system is monoclinic. For the density of states at the Fermi level, the calculation gives 2.88 states/eV/cell. The value obtained for the total energy is -33.2 eV per cell. As for the symmetry: No. 12. As for the formation energy: -0.44 eV per atom.

Unit cell a=6.6548 b=6.6548 c=8.4601 alpha=110.05 beta=110.05 gamma=35.12
Sites, in units of the cell vectors:
Ca  0.0000  0.0000  0.0000
Ca  0.1281  0.1281  0.4301
Ca  0.8719  0.8719  0.5699
Sm  0.3294  0.3294  0.1786
Sm  0.6706  0.6706  0.8214
Rh  0.3152  0.3152  0.8055
Rh  0.6848  0.6848  0.1945